# 1
{
  "formula": "LiYTl2",
  "functional": "GGA-PBE",
  "state": "relaxed",
  "delta_e_f_mev_per_atom": -300,
  "final_energy_ev_per_atom": -3.578,
  "de_polymorph_ev_per_atom": 0.029,
  "spacegroup": "P4/mmm",
  "cell": [[3.601, 0.000, 0.000], [0.000, 3.586, 0.297], [0.000, 2.977, 7.714]],
  "species": ["Tl", "Tl", "Li", "Y"],
  "frac_coords": [[0.000, 0.032, 0.968], [0.000, 0.468, 0.532], [0.500, 0.750, 0.750], [0.500, 0.250, 0.250]]
}


# 2
{
  "formula": "SiAsPtBr2",
  "functional": "GGA-PBE",
  "state": "relaxed",
  "final_energy_ev_per_atom": -3.271,
  "de_polymorph_ev_per_atom": 0.000,
  "formation_energy_uncorrected_ev_per_atom": 0.62,
  "spacegroup": "P4/mmm",
  "cell": [[5.157, 0.000, 0.000], [0.000, 5.157, 0.000], [0.000, 0.000, 4.874]],
  "species": ["Br", "Br", "Pt", "Si", "As"],
  "frac_coords": [[0.000, 0.500, 0.000], [0.500, 0.000, 0.000], [0.000, 0.000, 0.000], [0.500, 0.500, 0.500], [0.000, 0.000, 0.500]]
}


# 3
{
  "formula": "MgSnHO",
  "functional": "GGA-PBE",
  "state": "relaxed",
  "final_energy_ev_per_atom": -4.463,
  "de_polymorph_ev_per_atom": 0.092,
  "spacegroup": "I4mm",
  "cell": [[-1.156, -0.834, -2.563], [2.620, -1.001, -0.857], [-2.929, -12.197, 5.289]],
  "species": ["O", "O", "Mg", "Mg", "H", "H", "Sn", "Sn"],
  "frac_coords": [[0.000, 0.000, 0.954], [0.500, 0.500, 0.454], [0.000, 0.000, 0.433], [0.500, 0.500, 0.933], [0.500, 0.500, 0.787], [0.000, 0.000, 0.287], [0.500, 0.500, 0.650], [0.000, 0.000, 0.150]]
}


# 4
{
  "formula": "LiSmIr4",
  "functional": "GGA-PBE",
  "state": "relaxed",
  "delta_e_f_mev_per_atom": -419,
  "final_energy_ev_per_atom": -7.432,
  "spacegroup": "F-43m",
  "cell": [[-1.008, -3.786, -3.569], [3.382, -0.848, -3.991], [2.942, -4.407, -0.090]],
  "species": ["Ir", "Ir", "Ir", "Ir", "Sm", "Li"],
  "frac_coords": [[0.625, 0.625, 0.625], [0.625, 0.625, 0.124], [0.625, 0.124, 0.625], [0.124, 0.625, 0.625], [0.250, 0.250, 0.250], [0.000, 0.000, 0.000]]
}


# 5
{
  "formula": "La3Ce2PmN6",
  "functional": "GGA-PBE",
  "state": "relaxed",
  "final_energy_ev_per_atom": -8.196,
  "formation_energy_uncorrected_ev_per_atom": -1.42,
  "spacegroup": "C2/m",
  "cell": [[-2.400, 5.350, -2.360], [-3.742, -4.050, 3.089], [3.257, 2.383, 4.913]],
  "species": ["N", "N", "N", "N", "N", "N", "Ce", "Ce", "La", "La", "La", "Pm"],
  "frac_coords": [[0.267, 0.267, 0.770], [0.733, 0.733, 0.230], [0.923, 0.579, 0.768], [0.579, 0.923, 0.768], [0.421, 0.077, 0.232], [0.077, 0.421, 0.232], [0.333, 0.667, 0.000], [0.667, 0.333, 0.000], [0.166, 0.834, 0.500], [0.500, 0.500, 0.500], [0.834, 0.166, 0.500], [0.000, 0.000, 0.000]]
}


# 6
{
  "formula": "Nd2ErPuSe5",
  "functional": "GGA-PBE",
  "state": "relaxed",
  "final_energy_ev_per_atom": -6.329,
  "formation_energy_uncorrected_ev_per_atom": -1.23,
  "spacegroup": "P4/mmm",
  "cell": [[-4.238, 2.556, 1.040], [0.087, -1.782, 4.733], [5.941, 8.581, 3.121]],
  "species": ["Se", "Se", "Se", "Se", "Se", "Er", "Nd", "Nd", "Pu"],
  "frac_coords": [[0.500, 0.000, 0.500], [0.500, 0.500, 0.000], [0.000, 0.000, 0.250], [0.000, 0.500, 0.500], [0.000, 0.000, 0.750], [0.000, 0.000, 0.500], [0.500, 0.500, 0.288], [0.500, 0.500, 0.712], [0.000, 0.000, 0.000]]
}


# 7
{
  "formula": "Sc2CuPd2",
  "functional": "GGA-PBE",
  "state": "relaxed",
  "delta_e_f_mev_per_atom": -595,
  "final_energy_ev_per_atom": -6.024,
  "de_polymorph_ev_per_atom": 0.026,
  "spacegroup": "Ibam",
  "cell": [[5.167, 0.000, 0.000], [0.000, 5.823, 0.000], [-2.584, -2.911, 5.895]],
  "species": ["Pd", "Pd", "Pd", "Pd", "Sc", "Sc", "Sc", "Sc", "Cu", "Cu"],
  "frac_coords": [[0.400, 0.064, 0.800], [0.100, 0.264, 0.200], [0.600, 0.936, 0.200], [0.900, 0.736, 0.800], [0.831, 0.120, 0.663], [0.169, 0.880, 0.337], [0.669, 0.457, 0.337], [0.331, 0.543, 0.663], [0.250, 0.500, 0.000], [0.750, 0.500, 0.000]]
}


# 8
{
  "formula": "PmHBr",
  "functional": "GGA-PBE",
  "state": "relaxed",
  "final_energy_ev_per_atom": -4.071,
  "de_polymorph_ev_per_atom": 0.440,
  "spacegroup": "Amm2",
  "cell": [[4.846, -0.434, -0.012], [0.589, 4.830, -0.012], [1.372, 1.109, 5.061]],
  "species": ["Pm", "Pm", "H", "H", "Br", "Br"],
  "frac_coords": [[0.249, 0.249, 0.370], [0.749, 0.749, 0.370], [0.778, 0.278, 0.254], [0.278, 0.778, 0.254], [0.647, 0.147, 0.781], [0.147, 0.647, 0.781]]
}


# 9
{
  "formula": "SrSc2As2",
  "functional": "GGA-PBE",
  "state": "relaxed",
  "delta_e_f_mev_per_atom": -854,
  "final_energy_ev_per_atom": -5.583,
  "de_polymorph_ev_per_atom": 0.167,
  "spacegroup": "I4/mmm",
  "cell": [[5.117, 0.000, 0.000], [0.000, 5.117, 0.000], [2.558, 2.558, 5.174]],
  "species": ["Sc", "Sc", "As", "As", "Sr"],
  "frac_coords": [[0.671, 0.671, 0.657], [0.329, 0.329, 0.343], [0.750, 0.250, 0.500], [0.250, 0.750, 0.500], [0.000, 0.000, 0.000]]
}


# 10
{
  "formula": "CdGe2Pd",
  "functional": "GGA-PBE",
  "state": "relaxed",
  "delta_e_f_mev_per_atom": -75,
  "final_energy_ev_per_atom": -3.911,
  "spacegroup": "P4/mmm",
  "cell": [[-0.021, 3.088, -0.313], [-2.873, -0.138, -1.165], [-2.938, 0.706, 7.163]],
  "species": ["Cd", "Ge", "Ge", "Pd"],
  "frac_coords": [[0.500, 0.500, 0.500], [0.000, 0.000, 0.211], [0.000, 0.000, 0.789], [0.500, 0.500, 0.000]]
}


# 11
{
  "formula": "Ta4ZnPt",
  "functional": "GGA-PBE",
  "state": "relaxed",
  "delta_e_f_mev_per_atom": 319,
  "final_energy_ev_per_atom": -8.802,
  "spacegroup": "F-43m",
  "cell": [[2.414, -4.484, -1.731], [-2.050, -2.724, -4.160], [2.565, -0.020, -4.727]],
  "species": ["Ta", "Ta", "Ta", "Ta", "Pt", "Zn"],
  "frac_coords": [[0.376, 0.872, 0.376], [0.376, 0.376, 0.872], [0.872, 0.376, 0.376], [0.376, 0.376, 0.376], [0.000, 0.000, 0.000], [0.750, 0.750, 0.750]]
}


# 12
{
  "formula": "HgRh2",
  "functional": "GGA-PBE",
  "state": "relaxed",
  "delta_e_f_mev_per_atom": 199,
  "final_energy_ev_per_atom": -4.802,
  "spacegroup": "C2/m",
  "cell": [[1.430, 5.462, -0.004], [-1.430, 5.462, -0.004], [0.000, 1.791, 6.323]],
  "species": ["Hg", "Hg", "Rh", "Rh", "Rh", "Rh"],
  "frac_coords": [[0.022, 0.022, 0.211], [0.978, 0.978, 0.789], [0.657, 0.657, 0.470], [0.703, 0.703, 0.866], [0.343, 0.343, 0.530], [0.297, 0.297, 0.134]]
}


# 13
{
  "formula": "La3Sm6Sc",
  "functional": "GGA-PBE",
  "state": "relaxed",
  "delta_e_f_mev_per_atom": 259,
  "final_energy_ev_per_atom": -4.684,
  "de_polymorph_ev_per_atom": 0.081,
  "spacegroup": "C2/m",
  "cell": [[7.778, 0.000, -3.157], [-0.702, 8.919, -1.730], [-2.127, 0.093, 5.921]],
  "species": ["Sm", "Sm", "Sm", "Sm", "Sm", "Sm", "La", "La", "La", "Sc"],
  "frac_coords": [[0.615, 0.863, 0.231], [0.307, 0.360, 0.241], [0.385, 0.137, 0.769], [0.066, 0.640, 0.759], [0.693, 0.640, 0.759], [0.934, 0.360, 0.241], [0.220, 0.755, 0.441], [0.000, 0.000, 0.000], [0.780, 0.245, 0.559], [0.500, 0.500, 0.000]]
}


# 14
{
  "formula": "TaZnReIr2",
  "functional": "GGA-PBE",
  "state": "relaxed",
  "delta_e_f_mev_per_atom": 1551,
  "final_energy_ev_per_atom": -7.109,
  "spacegroup": "P4/mmm",
  "cell": [[4.707, 0.000, 0.000], [0.000, 4.595, 0.000], [0.000, 0.000, 4.707]],
  "species": ["Zn", "Re", "Ir", "Ir", "Ta"],
  "frac_coords": [[0.000, 0.500, 0.000], [0.000, 0.000, 0.000], [0.000, 0.000, 0.500], [0.500, 0.000, 0.000], [0.500, 0.500, 0.500]]
}


# 15
{
  "formula": "Mn2AgSe",
  "functional": "GGA-PBE",
  "state": "relaxed",
  "final_energy_ev_per_atom": -5.820,
  "formation_energy_uncorrected_ev_per_atom": 0.35,
  "spacegroup": "I-42d",
  "cell": [[7.126, 0.000, 0.000], [0.000, 7.126, 0.000], [3.563, 3.563, 2.828]],
  "species": ["Se", "Se", "Mn", "Mn", "Mn", "Mn", "Ag", "Ag"],
  "frac_coords": [[0.250, 0.750, 0.500], [0.500, 0.500, 0.000], [0.375, 0.397, 0.750], [0.875, 0.853, 0.750], [0.147, 0.625, 0.250], [0.603, 0.125, 0.250], [0.000, 0.000, 0.000], [0.750, 0.250, 0.500]]
}


# 16
{
  "formula": "Ca2AcCd6",
  "functional": "GGA-PBE",
  "state": "relaxed",
  "delta_e_f_mev_per_atom": -270,
  "final_energy_ev_per_atom": -1.781,
  "spacegroup": "Immm",
  "cell": [[3.549, 0.000, 0.978], [0.725, 7.909, 4.298], [-0.570, 0.505, 8.999]],
  "species": ["Cd", "Cd", "Cd", "Cd", "Cd", "Cd", "Ca", "Ca", "Ac"],
  "frac_coords": [[0.500, 0.333, 0.667], [0.674, 0.004, 0.648], [0.500, 0.667, 0.333], [0.326, 0.996, 0.352], [0.326, 0.352, 0.996], [0.674, 0.648, 0.004], [0.146, 0.354, 0.354], [0.854, 0.646, 0.646], [0.000, 0.000, 0.000]]
}


# 17
{
  "formula": "SrCuP",
  "functional": "GGA-PBE",
  "state": "relaxed",
  "delta_e_f_mev_per_atom": 1011,
  "final_energy_ev_per_atom": -2.718,
  "spacegroup": "P6_3/mmc",
  "cell": [[-2.075, 0.151, 4.906], [-2.514, -2.656, -3.875], [6.092, -9.970, 2.883]],
  "species": ["Sr", "Sr", "P", "P", "Cu", "Cu"],
  "frac_coords": [[0.000, 0.000, 0.750], [0.000, 0.000, 0.250], [0.000, 0.000, 0.500], [0.000, 0.000, 0.000], [0.333, 0.667, 0.250], [0.667, 0.333, 0.750]]
}


# 18
{
  "formula": "LaCdIO2",
  "functional": "GGA-PBE",
  "state": "relaxed",
  "final_energy_ev_per_atom": -4.210,
  "de_polymorph_ev_per_atom": 0.589,
  "formation_energy_uncorrected_ev_per_atom": -0.75,
  "spacegroup": "P4/mmm",
  "cell": [[4.516, 0.000, 0.000], [0.000, 4.516, 0.000], [0.000, 0.000, 5.340]],
  "species": ["I", "Cd", "O", "O", "La"],
  "frac_coords": [[0.000, 0.000, 0.500], [0.000, 0.000, 0.000], [0.000, 0.500, 0.000], [0.500, 0.000, 0.000], [0.500, 0.500, 0.500]]
}


# 19
{
  "formula": "NpTiI2",
  "functional": "GGA-PBE",
  "state": "relaxed",
  "final_energy_ev_per_atom": -5.864,
  "formation_energy_uncorrected_ev_per_atom": 0.12,
  "spacegroup": "R-3m",
  "cell": [[-2.930, 1.129, -1.724], [-2.579, -2.330, -0.863], [-6.446, 1.371, 8.132]],
  "species": ["I", "I", "Ti", "Np"],
  "frac_coords": [[0.895, 0.895, 0.315], [0.105, 0.105, 0.685], [0.500, 0.500, 0.500], [0.000, 0.000, 0.000]]
}


# 20
{
  "formula": "CePmSi2Pt4",
  "functional": "GGA-PBE",
  "state": "relaxed",
  "final_energy_ev_per_atom": -6.637,
  "formation_energy_uncorrected_ev_per_atom": -0.93,
  "spacegroup": "P4/mmm",
  "cell": [[4.122, 0.000, 0.000], [0.000, 4.122, 0.000], [0.000, 0.000, 9.303]],
  "species": ["Pt", "Pt", "Pt", "Pt", "Pm", "Si", "Si", "Ce"],
  "frac_coords": [[0.500, 0.000, 0.767], [0.000, 0.500, 0.233], [0.000, 0.500, 0.767], [0.500, 0.000, 0.233], [0.000, 0.000, 0.500], [0.500, 0.500, 0.373], [0.500, 0.500, 0.627], [0.000, 0.000, 0.000]]
}


# 21
{
  "formula": "CaTaSi3",
  "functional": "GGA-PBE",
  "state": "relaxed",
  "final_energy_ev_per_atom": -4.051,
  "de_polymorph_ev_per_atom": 1.865,
  "formation_energy_uncorrected_ev_per_atom": 1.97,
  "spacegroup": "Pm-3m",
  "cell": [[4.836, 0.000, 0.000], [0.000, 4.836, 0.000], [0.000, 0.000, 4.836]],
  "species": ["Ta", "Si", "Si", "Si", "Ca"],
  "frac_coords": [[0.500, 0.500, 0.500], [0.500, 0.000, 0.000], [0.000, 0.500, 0.000], [0.000, 0.000, 0.500], [0.000, 0.000, 0.000]]
}


# 22
{
  "formula": "CrPt4Se",
  "functional": "GGA-PBE",
  "state": "relaxed",
  "final_energy_ev_per_atom": -5.926,
  "formation_energy_uncorrected_ev_per_atom": 0.29,
  "spacegroup": "F-43m",
  "cell": [[0.000, 3.747, 3.747], [3.747, 0.000, 3.747], [3.747, 3.747, 0.000]],
  "species": ["Pt", "Pt", "Pt", "Pt", "Se", "Cr"],
  "frac_coords": [[0.625, 0.124, 0.625], [0.124, 0.625, 0.625], [0.625, 0.625, 0.124], [0.625, 0.625, 0.625], [0.250, 0.250, 0.250], [0.000, 0.000, 0.000]]
}


# 23
{
  "formula": "Tm2PuPd",
  "functional": "GGA-PBE",
  "state": "relaxed",
  "delta_e_f_mev_per_atom": -212,
  "final_energy_ev_per_atom": -7.329,
  "de_polymorph_ev_per_atom": 0.166,
  "spacegroup": "R-3m",
  "cell": [[3.498, 0.000, 0.000], [1.749, 3.029, 0.000], [1.749, 1.010, 9.801]],
  "species": ["Pd", "Tm", "Tm", "Pu"],
  "frac_coords": [[0.000, 0.000, 0.000], [0.265, 0.265, 0.206], [0.735, 0.735, 0.794], [0.500, 0.500, 0.500]]
}


# 24
{
  "formula": "NaTaGeO5",
  "functional": "GGA-PBE",
  "state": "relaxed",
  "final_energy_ev_per_atom": -7.619,
  "formation_energy_uncorrected_ev_per_atom": -2.30,
  "spacegroup": "C2/c",
  "cell": [[5.703, -0.001, 0.001], [-1.385, 5.532, 0.001], [1.982, 2.539, 6.793]],
  "species": ["Ta", "Ta", "O", "O", "O", "O", "O", "O", "O", "O", "O", "O", "Ge", "Ge", "Na", "Na"],
  "frac_coords": [[0.000, 0.000, 0.500], [0.000, 0.000, 0.000], [0.063, 0.937, 0.750], [0.119, 0.703, 0.106], [0.937, 0.063, 0.250], [0.246, 0.360, 0.405], [0.703, 0.119, 0.606], [0.754, 0.640, 0.595], [0.640, 0.754, 0.095], [0.881, 0.297, 0.894], [0.360, 0.246, 0.905], [0.297, 0.881, 0.394], [0.320, 0.680, 0.250], [0.680, 0.320, 0.750], [0.676, 0.324, 0.250], [0.324, 0.676, 0.750]]
}